A relaxed structure of Cr2ReSb. Source: Alexandria via LeMat-Bulk, functional PBE.

Cell: 4.7013 4.7013 4.7013 Å, 129.37 129.37 74.41°
Last column: nearest neighbours and their distance in Å.
Positions (direct):
Re: 0.2500 0.7500 0.5000  8 Cr 2.75, 4 Sb 2.84
Cr: 0.5000 0.5000 0.0000  4 Sb 2.75, 4 Re 2.75, 4 Cr 2.84
Cr: 0.0000 0.0000 0.0000  4 Re 2.75, 4 Sb 2.75, 4 Cr 2.84
Sb: 0.7500 0.2500 0.5000  8 Cr 2.75, 4 Re 2.84

Calculated values
Space-group type   I4/mmm, No. 139
Electronic total energy   -8.56 eV/atom